# 1
{"formula": "BaBi4Pt2", "functional": "PBE", "state": "optimized geometry", "lattice_angstrom": [[4.741, 0.000, 0.000], [0.000, 4.752, 0.000], [0.000, -2.376, 9.123]], "species": ["Pt", "Bi", "Bi", "Ba", "Bi", "Pt", "Bi"], "frac_coords": [[0.500, 0.426, 0.851], [0.000, 0.333, 0.666], [0.500, 0.838, 0.676], [0.000, 0.000, 0.000], [0.500, 0.162, 0.324], [0.500, 0.574, 0.149], [0.000, 0.667, 0.334]], "delta_e_f_ev_per_atom": -0.34, "e_above_lowest_polymorph_kj_per_mol_fu": 55.4, "magmom_total_mub_per_cell": 0.00, "spacegroup": "Cmmm, No. 65", "crystal_system": "orthorhombic"}

***

# 2
{"formula": "TbPr2Nd3Te6", "functional": "PBE", "state": "optimized geometry", "lattice_angstrom": [[4.464, 0.000, 0.000], [0.000, 9.023, 0.355], [-2.232, -2.566, 9.431]], "species": ["Te", "Tb", "Te", "Te", "Nd", "Nd", "Te", "Te", "Pr", "Pr", "Nd", "Te"], "frac_coords": [[0.335, 0.416, 0.670], [0.500, 0.000, 0.000], [0.662, 0.079, 0.324], [0.338, 0.921, 0.676], [0.829, 0.166, 0.657], [0.171, 0.834, 0.343], [0.665, 0.584, 0.330], [0.002, 0.758, 0.004], [0.831, 0.664, 0.662], [0.169, 0.336, 0.338], [0.500, 0.500, 0.000], [0.998, 0.242, 0.996]], "magmom_total_mub_per_cell": 0.00, "raw_formation_energy_ev_per_atom": -1.410, "spacegroup": "C2/m, No. 12", "crystal_system": "monoclinic"}

***

# 3
{"formula": "TmTh5Se6", "functional": "PBE", "state": "optimized geometry", "lattice_angstrom": [[7.128, 0.173, 1.082], [1.745, 6.095, 3.550], [0.117, 0.090, 7.224]], "species": ["Th", "Se", "Th", "Se", "Th", "Se", "Se", "Se", "Tm", "Se", "Th", "Th"], "frac_coords": [[0.500, 0.500, 0.000], [0.239, 0.601, 0.321], [0.000, 0.335, 0.330], [0.761, 0.399, 0.679], [0.500, 0.826, 0.349], [0.750, 0.764, 0.000], [0.761, 0.078, 0.321], [0.239, 0.922, 0.679], [0.000, 0.000, 0.000], [0.250, 0.236, 0.000], [0.500, 0.174, 0.651], [0.000, 0.665, 0.670]], "magmom_total_mub_per_cell": 0.00, "raw_formation_energy_ev_per_atom": -1.555, "spacegroup": "C2/m, No. 12", "crystal_system": "monoclinic"}

***

# 4
{"formula": "Pm2Dy7Mg", "functional": "PBE", "state": "optimized geometry", "lattice_angstrom": [[-2.688, 0.426, 4.504], [-7.521, -3.860, -4.124], [6.779, -4.724, 4.493]], "species": ["Dy", "Dy", "Pm", "Dy", "Dy", "Dy", "Dy", "Dy", "Pm", "Mg"], "frac_coords": [[0.000, 0.201, 0.799], [0.500, 0.073, 0.283], [0.500, 0.295, 0.705], [0.500, 0.283, 0.073], [0.500, 0.500, 0.500], [0.000, 0.799, 0.201], [0.500, 0.927, 0.717], [0.500, 0.717, 0.927], [0.500, 0.705, 0.295], [0.000, 0.000, 0.000]], "delta_e_f_ev_per_atom": 0.66, "magmom_total_mub_per_cell": 0.00, "spacegroup": "Cmmm, No. 65", "crystal_system": "orthorhombic"}

***

# 5
{"formula": "LaPmHo2", "functional": "PBE", "state": "optimized geometry", "lattice_angstrom": [[3.639, 0.000, 0.000], [0.000, 3.639, 0.000], [0.000, 0.000, 10.066]], "species": ["Ho", "Pm", "La", "Ho"], "frac_coords": [[0.000, 0.000, 0.753], [0.500, 0.500, 0.000], [0.500, 0.500, 0.500], [0.000, 0.000, 0.247]], "delta_e_f_ev_per_atom": 0.03, "e_above_lowest_polymorph_kj_per_mol_fu": 4.8, "magmom_total_mub_per_cell": 0.00, "spacegroup": "P4/mmm, No. 123", "crystal_system": "tetragonal"}

***

# 6
{"formula": "LiCu5Au8", "functional": "PBE", "state": "optimized geometry", "lattice_angstrom": [[-0.303, 5.107, -4.318], [-5.130, 0.276, 4.294], [5.814, 0.449, 3.289]], "species": ["Au", "Li", "Au", "Au", "Cu", "Cu", "Au", "Au", "Cu", "Au", "Au", "Cu", "Au", "Cu"], "frac_coords": [[0.506, 0.600, 0.247], [0.250, 0.500, 0.750], [0.094, 0.740, 0.494], [0.584, 0.919, 0.858], [0.301, 0.095, 0.970], [0.875, 0.905, 0.206], [0.142, 0.726, 0.061], [0.646, 0.400, 0.906], [0.794, 0.669, 0.699], [0.939, 0.081, 0.665], [0.335, 0.274, 0.416], [0.500, 0.000, 0.500], [0.753, 0.260, 0.354], [0.030, 0.331, 0.125]], "delta_e_f_ev_per_atom": 0.01, "magmom_total_mub_per_cell": 0.00, "spacegroup": "I-4, No. 82", "crystal_system": "tetragonal"}

***

# 7
{"formula": "SrLi2Ca2", "functional": "PBE", "state": "optimized geometry", "lattice_angstrom": [[6.805, -0.010, -0.008], [-3.387, 6.334, -3.442], [0.006, 0.006, 8.604]], "species": ["Sr", "Ca", "Sr", "Ca", "Ca", "Li", "Li", "Li", "Li", "Ca"], "frac_coords": [[0.126, 0.000, 0.750], [0.768, 0.460, 0.831], [0.874, 0.000, 0.250], [0.232, 0.540, 0.169], [0.307, 0.539, 0.669], [0.689, 0.085, 0.935], [0.397, 0.085, 0.435], [0.603, 0.915, 0.565], [0.311, 0.915, 0.065], [0.693, 0.461, 0.331]], "delta_e_f_ev_per_atom": 0.07, "e_above_lowest_polymorph_kj_per_mol_fu": 21.2, "magmom_total_mub_per_cell": 0.00, "spacegroup": "P-1, No. 2", "crystal_system": "triclinic"}

***

# 8
{"formula": "Pr4CdRhAu2", "functional": "PBE", "state": "optimized geometry", "lattice_angstrom": [[5.306, 0.000, 0.000], [2.653, 4.595, 0.000], [2.653, 1.532, 8.535]], "species": ["Au", "Au", "Cd", "Pr", "Rh", "Pr", "Pr", "Pr"], "frac_coords": [[0.262, 0.262, 0.214], [0.738, 0.738, 0.786], [0.000, 0.000, 0.000], [0.133, 0.133, 0.601], [0.500, 0.500, 0.500], [0.385, 0.385, 0.845], [0.867, 0.867, 0.399], [0.615, 0.615, 0.155]], "delta_e_f_ev_per_atom": -0.61, "magmom_total_mub_per_cell": 0.00, "spacegroup": "R-3m, No. 166", "crystal_system": "trigonal"}

***

| no. | energy (eV/atom) |
| --- | --- |
| 1 | -4.558 |
| 2 | -5.355 |
| 3 | -6.761 |
| 4 | -3.669 |
| 5 | -4.682 |
| 6 | -3.463 |
| 7 | -1.835 |
| 8 | -4.855 |